w.
Material: LiNb2Ni
Method: DFT, PBE
State: optimized geometry

For the density of states at the Fermi level, the calculation gives 16.74 states/eV/cell. The total magnetization is 0.9 μB/f.u.

It has space group Fm-3m (No. 225), with a = 6.207 Å, b = 6.207 Å, c = 6.207 Å, α = 90.00°, β = 90.00° and γ = 90.00°. The asymmetric unit holds Li at (0.000, 0.000, 0.000), Nb at (0.250, 0.250, 0.250) and Ni at (0.000, 0.000, 0.500).

=====

x.
Material: LiNb2Ni
Method: DFT, PBE
State: optimized geometry

For the density of states at the Fermi level, the calculation gives 15.48 states/eV/cell. The total magnetization is 0.0 μB/f.u.

It has space group I-42d (No. 122), with a = 7.098 Å, b = 7.098 Å, c = 5.152 Å, α = 90.00°, β = 90.00° and γ = 90.00°. The asymmetric unit holds Li at (0.000, 0.000, 0.000), Nb at (0.221, 0.250, 0.625) and Ni at (0.000, 0.000, 0.500).

=====

Relative energy table, unit meV per atom: w 0; x 167